The following is a DFT calculation (PBE) of a relaxed structure of Y5SnS4.

Total DFT energy (no corrections) ... -6.995 eV/atom
Total magnetization ... 0.0 Bohr magnetons per cell

Lattice parameters (Å, degrees): 5.7146 6.9769 6.9769 80.34 65.82 65.82
Fractional coordinates of all 10 atoms:
Y 0.8973 0.4156 0.7918
Y 0.3129 0.7918 0.5844
Y 0.1047 0.5844 0.2082
Y 0.6891 0.2082 0.4156
Y 0.5012 0.0000 0.0000
S 0.6054 0.5946 0.1966
S 0.2000 0.1966 0.4054
S 0.3966 0.4054 0.8034
S 0.8020 0.8034 0.5946
Sn 0.0012 0.0000 0.0000